1.
Computed, not measured: a geometry-optimized Ta2BeSiAs structure at the GGA-PBE level of DFT.

POSCAR file:
```
Ta2BeSiAs
1.0
4.8257 0.0000 0.0000
0.0000 4.8257 0.0000
0.0000 0.0000 3.8440
Ta Be Si As
2 1 1 1
Cartesian
0.0000 2.4128 0.0000
2.4128 0.0000 0.0000
0.0000 0.0000 1.9220
2.4128 2.4128 1.9220
0.0000 0.0000 0.0000
```

N(E_F) in states/eV/cell: 3.5
E_form (uncorrected) in eV per atom: 0.84



2.
Computed, not measured: a geometry-optimized AlTl3Te structure at the GGA-PBE level of DFT.

POSCAR file:
```
AlTl3Te
1.0
5.4515 0.0000 0.0000
0.0000 5.4515 0.0000
0.0000 0.0000 5.4515
Al Tl Te
1 3 1
Cartesian
0.0000 0.0000 0.0000
0.0000 0.0000 2.7258
0.0000 2.7258 0.0000
2.7258 0.0000 0.0000
2.7258 2.7258 2.7258
```

N(E_F) in states/eV/cell: 1.5
Polymorph energy (0 for the lowest one) in meV/atom: 0
E_form (uncorrected) in eV per atom: 0.09